Li24Mn5Cr7O36: relaxed, PBE+U.

Summary:
calculated density: 3.63 g/cm³
size of the total moment: 23.00 μB/f.u.
offset from the most stable computed form: 0.9 meV/atom
calculated volume: 631.1 Å³ per cell
raw total energy: -6.229 eV per atom

CIF file:
```
data_Li24Mn5Cr7O36
_symmetry_space_group_name_H-M 'P 1'
_symmetry_Int_Tables_number 1
_symmetry_space_group_name_Hall 'P 1'
_cell_length_a 5.012
_cell_length_b 9.735
_cell_length_c 13.303
_cell_angle_alpha 96.77
_cell_angle_beta 100.14
_cell_angle_gamma 94.62
loop_
_atom_site_label
_atom_site_fract_x
_atom_site_fract_y
_atom_site_fract_z
Li1 0.000 0.000 0.000
Li2 0.001 0.499 0.498
Li3 0.046 0.751 0.862
Li4 0.048 0.247 0.363
Li5 0.164 0.249 0.582
Li6 0.169 0.749 0.083
Li7 0.278 0.245 0.796
Li8 0.291 0.753 0.307
Li9 0.326 0.999 0.666
Li10 0.338 0.500 0.166
Li11 0.369 0.746 0.524
Li12 0.386 0.254 0.035
Li13 0.501 0.750 0.748
Li14 0.502 0.249 0.250
Li15 0.615 0.250 0.468
Li16 0.619 0.747 0.968
Li17 0.666 0.999 0.333
Li18 0.668 0.499 0.832
Li19 0.707 0.748 0.196
Li20 0.715 0.249 0.697
Li21 0.829 0.749 0.416
Li22 0.832 0.249 0.916
Li23 0.949 0.249 0.136
Li24 0.964 0.752 0.639
Mn1 0.114 0.001 0.223
Mn2 0.218 0.997 0.443
Mn3 0.442 0.499 0.388
Mn4 0.778 0.500 0.056
Mn5 0.887 0.000 0.776
Cr1 0.104 0.499 0.722
Cr2 0.232 0.501 0.943
Cr3 0.434 0.998 0.889
Cr4 0.556 0.497 0.607
Cr5 0.567 0.001 0.111
Cr6 0.767 0.999 0.555
Cr7 0.894 0.499 0.276
O1 0.000 0.113 0.679
O2 0.002 0.386 0.818
O3 0.068 0.884 0.534
O4 0.070 0.386 0.034
O5 0.142 0.111 0.891
O6 0.147 0.612 0.394
O7 0.184 0.886 0.771
O8 0.188 0.388 0.274
O9 0.262 0.114 0.131
O10 0.264 0.613 0.631
O11 0.326 0.385 0.484
O12 0.333 0.613 0.848
O13 0.334 0.110 0.344
O14 0.336 0.886 0.985
O15 0.402 0.385 0.701
O16 0.402 0.886 0.200
O17 0.473 0.110 0.557
O18 0.482 0.613 0.061
O19 0.517 0.886 0.439
O20 0.523 0.389 0.941
O21 0.595 0.613 0.298
O22 0.596 0.113 0.798
O23 0.662 0.113 0.014
O24 0.662 0.610 0.510
O25 0.664 0.386 0.152
O26 0.671 0.888 0.654
O27 0.734 0.386 0.367
O28 0.737 0.886 0.868
O29 0.815 0.113 0.228
O30 0.816 0.612 0.725
O31 0.845 0.386 0.605
O32 0.859 0.889 0.109
O33 0.929 0.112 0.465
O34 0.930 0.613 0.964
O35 0.995 0.611 0.178
O36 0.998 0.887 0.321
```